No. 1
## NdTlCuTe3 (PBE-GGA)

Data for a geometry-optimized NdTlCuTe3 structure.

Geometry as CIF:
```
data_NdTlCuTe3
_chemical_formula_sum 'Nd4 Tl4 Cu4 Te12'
_space_group_name_H-M_alt 'C m c m'
_space_group_IT_number 63
_space_group_name_Hall '-C 2c 2'
_cell_length_a 4.2755
_cell_length_b 15.2779
_cell_length_c 11.7625
_cell_angle_alpha 90.00
_cell_angle_beta 90.00
_cell_angle_gamma 90.00
loop_
_atom_site_label
_atom_site_type_symbol
_atom_site_fract_x
_atom_site_fract_y
_atom_site_fract_z
Nd1 Nd 0.0000 0.0000 0.0000
Tl1 Tl 0.0000 0.2445 0.2500
Cu1 Cu 0.0000 0.4660 0.7500
Te1 Te 0.0000 0.0717 0.7500
Te2 Te 0.0000 0.3597 0.5724
```

***

No. 2
# ErNi2Hg4 PBE-GGA relaxed
# **Formation enthalpy at 0 K**: 0.056 eV/atom
data_ErNi2Hg4
_chemical_formula_sum 'Er2 Ni4 Hg8'
_space_group_name_H-M_alt 'C m m m'
_space_group_IT_number 65
_space_group_name_Hall '-C 2 2'
_cell_length_a 7.6433
_cell_length_b 10.3618
_cell_length_c 3.6647
_cell_angle_alpha 90.00
_cell_angle_beta 90.00
_cell_angle_gamma 90.00
loop_
_atom_site_label
_atom_site_type_symbol
_atom_site_fract_x
_atom_site_fract_y
_atom_site_fract_z
Er1 Er 0.0000 0.0000 0.0000
Ni1 Ni 0.2500 0.2500 0.5000
Hg1 Hg 0.0000 0.2863 0.0000
Hg2 Hg 0.1917 0.5000 0.5000

***

No. 3
## Nb4SiNiC2 (PBE-GGA)

Data for a geometry-optimized Nb4SiNiC2 structure.

Geometry as CIF:
```
data_Nb4SiNiC2
_chemical_formula_sum 'Nb4 Si1 Ni1 C2'
_space_group_name_H-M_alt 'P -6 m 2'
_space_group_IT_number 187
_space_group_name_Hall 'P -6 2'
_cell_length_a 3.1724
_cell_length_b 3.1724
_cell_length_c 12.7174
_cell_angle_alpha 90.00
_cell_angle_beta 90.00
_cell_angle_gamma 120.00
loop_
_atom_site_label
_atom_site_type_symbol
_atom_site_fract_x
_atom_site_fract_y
_atom_site_fract_z
Nb1 Nb 0.0000 0.0000 0.1533
Nb2 Nb 0.6667 0.3333 0.3464
Si1 Si 0.0000 0.0000 0.5000
Ni1 Ni 0.6667 0.3333 0.0000
C1 C 0.3333 0.6667 0.2480
```

***

No. 4
## Rb2YHgCl6 (PBE-GGA)

Data for a geometry-optimized Rb2YHgCl6 structure.

Geometry as CIF:
```
data_Rb2YHgCl6
_chemical_formula_sum 'Rb8 Y4 Hg4 Cl24'
_space_group_name_H-M_alt 'F m -3 m'
_space_group_IT_number 225
_space_group_name_Hall '-F 4 2 3'
_cell_length_a 11.0391
_cell_length_b 11.0391
_cell_length_c 11.0391
_cell_angle_alpha 90.00
_cell_angle_beta 90.00
_cell_angle_gamma 90.00
loop_
_atom_site_label
_atom_site_type_symbol
_atom_site_fract_x
_atom_site_fract_y
_atom_site_fract_z
Rb1 Rb 0.2500 0.2500 0.2500
Y1 Y 0.0000 0.0000 0.0000
Hg1 Hg 0.0000 0.0000 0.5000
Cl1 Cl 0.0000 0.0000 0.2381
```

***

No. 5
## NaSnPt (PBE-GGA)

Data for a geometry-optimized NaSnPt structure.

Geometry as CIF:
```
data_NaSnPt
_chemical_formula_sum 'Na4 Sn4 Pt4'
_space_group_name_H-M_alt 'F -4 3 m'
_space_group_IT_number 216
_space_group_name_Hall 'F -4 2 3'
_cell_length_a 6.4751
_cell_length_b 6.4751
_cell_length_c 6.4751
_cell_angle_alpha 90.00
_cell_angle_beta 90.00
_cell_angle_gamma 90.00
loop_
_atom_site_label
_atom_site_type_symbol
_atom_site_fract_x
_atom_site_fract_y
_atom_site_fract_z
Na1 Na 0.0000 0.0000 0.0000
Sn1 Sn 0.0000 0.0000 0.5000
Pt1 Pt 0.2500 0.2500 0.2500
```

***

No. 6
# HfTeIr PBE-GGA relaxed
# **ΔE to the lowest computed polymorph**: 0 meV per atom
data_HfTeIr
_chemical_formula_sum 'Hf4 Te4 Ir4'
_space_group_name_H-M_alt 'F -4 3 m'
_space_group_IT_number 216
_space_group_name_Hall 'F -4 2 3'
_cell_length_a 6.4283
_cell_length_b 6.4283
_cell_length_c 6.4283
_cell_angle_alpha 90.00
_cell_angle_beta 90.00
_cell_angle_gamma 90.00
loop_
_atom_site_label
_atom_site_type_symbol
_atom_site_fract_x
_atom_site_fract_y
_atom_site_fract_z
Hf1 Hf 0.0000 0.0000 0.0000
Te1 Te 0.0000 0.0000 0.5000
Ir1 Ir 0.2500 0.2500 0.2500

***

Number 1: calculated total energy -4.060 eV per atom, M_tot 0.0 μB per cell. Number 2: calculated total energy -2.357 eV per atom, M_tot 0.0 μB per cell. Number 3: calculated total energy -9.120 eV per atom, M_tot 0.0 μB per cell. Number 4: calculated total energy -3.691 eV per atom, M_tot 0.7 μB per cell. Number 5: calculated total energy -4.108 eV per atom, M_tot 0.0 μB per cell. Number 6: calculated total energy -7.801 eV per atom, M_tot 0.2 μB per cell.